An optimized crystal structure of PmPrDy2, computed with GGA-PBE.

Output
The energy above the most stable polymorph in this dataset comes out at 0.01 eV per formula unit. For the formation energy from the elements, the calculation gives 2 kJ per mole of atoms. The density of states at the Fermi level is 1.442 states/eV per atom. The calculation puts the total energy at -18.7 eV per formula unit. The space group is R3m (160).

abc: 3.631 3.631 35.086
angles: 90.00 90.00 120.00
Sites, in units of the cell vectors:
1 Pm 0.000 0.000 0.000
2 Pm 0.333 0.667 0.667
3 Pm 0.667 0.333 0.333
4 Pr 0.000 0.000 0.166
5 Pr 0.333 0.667 0.833
6 Pr 0.667 0.333 0.500
7 Dy 0.000 0.000 0.583
8 Dy 0.000 0.000 0.749
9 Dy 0.333 0.667 0.250
10 Dy 0.333 0.667 0.416
11 Dy 0.667 0.333 0.082
12 Dy 0.667 0.333 0.916